1.
DFT (PBE-GGA) results for crystalline Sm3SnPb3 at its relaxed geometry.

Calculated values
Calculated formation energy   -0.37 eV per atom
Crystal system   hexagonal

Cell: 9.0921 9.0921 5.7688 Å, 90.00 90.00 120.00°
Fractional coordinates of all 14 atoms:
Sm1 0.0910 0.6418 0.2500
Sm2 0.3582 0.4492 0.2500
Sm3 0.4492 0.0910 0.7500
Sm4 0.5508 0.9090 0.2500
Sm5 0.6418 0.5508 0.7500
Sm6 0.9090 0.3582 0.7500
Sn1 0.3333 0.6667 0.7500
Sn2 0.6667 0.3333 0.2500
Pb1 0.0533 0.8026 0.7500
Pb2 0.1974 0.2507 0.7500
Pb3 0.2507 0.0533 0.2500
Pb4 0.7493 0.9467 0.7500
Pb5 0.8026 0.7493 0.2500
Pb6 0.9467 0.1974 0.2500



2.
DFT (PBE-GGA) results for crystalline HfPaTiN3 at its relaxed geometry.

Calculated values
Energy relative to the elements, uncorrected   -1.43 eV/atom
Crystal system   monoclinic

Cell: 6.8519 3.1407 8.0233 Å, 90.00 93.50 90.00°
Fractional coordinates of all 12 atoms:
Hf1 0.1308 0.2500 0.1383
Hf2 0.8692 0.7500 0.8617
Pa1 0.3622 0.7500 0.8251
Pa2 0.6378 0.2500 0.1749
Ti1 0.3486 0.7500 0.4254
Ti2 0.6514 0.2500 0.5746
N1 0.1029 0.2500 0.8713
N2 0.3497 0.2500 0.5886
N3 0.3581 0.7500 0.1432
N4 0.6419 0.2500 0.8568
N5 0.6503 0.7500 0.4114
N6 0.8971 0.7500 0.1287



3.
DFT (PBE-GGA) results for crystalline AcScAgSn2 at its relaxed geometry.

Calculated values
Calculated formation energy   -0.54 eV per atom
Crystal system   tetragonal

Cell: 7.0912 7.0912 7.0912 Å, 141.51 141.51 55.56°
Fractional coordinates of all 5 atoms:
Ac1 0.0000 0.0000 0.0000
Sc1 0.7500 0.2500 0.5000
Ag1 0.2500 0.7500 0.5000
Sn1 0.3838 0.3838 0.0000
Sn2 0.6162 0.6162 0.0000



4.
DFT (PBE-GGA) results for crystalline Zn7Ni3 at its relaxed geometry.

Calculated values
Calculated formation energy   -0.07 eV per atom
Offset from the most stable computed form   97 meV per atom
Crystal system   hexagonal

Cell: 8.0267 8.0267 4.9675 Å, 90.00 90.00 120.00°
Fractional coordinates of all 20 atoms:
Zn1 0.0405 0.5202 0.0000
Zn2 0.1231 0.2461 0.2053
Zn3 0.1231 0.8769 0.2053
Zn4 0.2461 0.1231 0.7053
Zn5 0.3333 0.6667 0.3430
Zn6 0.4798 0.5202 0.0000
Zn7 0.4798 0.9595 0.0000
Zn8 0.5202 0.0405 0.5000
Zn9 0.5202 0.4798 0.5000
Zn10 0.6667 0.3333 0.8430
Zn11 0.7539 0.8769 0.2053
Zn12 0.8769 0.1231 0.7053
Zn13 0.8769 0.7539 0.7053
Zn14 0.9595 0.4798 0.5000
Ni1 0.2056 0.4113 0.6964
Ni2 0.2056 0.7944 0.6964
Ni3 0.4113 0.2056 0.1964
Ni4 0.5887 0.7944 0.6964
Ni5 0.7944 0.2056 0.1964
Ni6 0.7944 0.5887 0.1964



5.
DFT (PBE-GGA) results for crystalline Dy5Hg2Te at its relaxed geometry.

Calculated values
Energy relative to the elements, uncorrected   -0.51 eV/atom
Crystal system   orthorhombic

Cell: 7.0911 12.7545 4.9577 Å, 90.00 90.00 90.00°
Fractional coordinates of all 16 atoms:
Dy1 0.0000 0.0000 0.0000
Dy2 0.1347 0.2749 0.0000
Dy3 0.1899 0.5947 0.5000
Dy4 0.3101 0.0947 0.5000
Dy5 0.3653 0.7749 0.0000
Dy6 0.5000 0.5000 0.0000
Dy7 0.6347 0.2251 0.0000
Dy8 0.6899 0.9053 0.5000
Dy9 0.8101 0.4053 0.5000
Dy10 0.8653 0.7251 0.0000
Hg1 0.1049 0.8384 0.5000
Hg2 0.3951 0.3384 0.5000
Hg3 0.6049 0.6616 0.5000
Hg4 0.8951 0.1616 0.5000
Te1 0.0000 0.5000 0.0000
Te2 0.5000 0.0000 0.0000



6.
DFT (PBE-GGA) results for crystalline DyTmInGa at its relaxed geometry.

Calculated values
Calculated formation energy   -0.49 eV per atom
Offset from the most stable computed form   20 meV per atom
Crystal system   cubic

Cell: 5.1647 5.1647 5.1647 Å, 60.00 60.00 60.00°
Fractional coordinates of all 4 atoms:
Dy1 0.0000 0.0000 0.0000
Tm1 0.5000 0.5000 0.5000
In1 0.2500 0.2500 0.2500
Ga1 0.7500 0.7500 0.7500



Number 1: N(E_F) 14.18 states/eV per cell, uncorrected energy -31.90 eV per formula unit, density 9.58 g cm⁻³. Number 2: N(E_F) 8.01 states/eV per cell, uncorrected energy -60.90 eV per formula unit, density 9.62 g cm⁻³. Number 3: N(E_F) 3.58 states/eV per cell, uncorrected energy -24.02 eV per formula unit, density 7.48 g cm⁻³. Number 4: N(E_F) 10.80 states/eV per cell, uncorrected energy -26.94 eV per formula unit, density 7.60 g cm⁻³. Number 5: N(E_F) 15.38 states/eV per cell, uncorrected energy -30.81 eV per formula unit, density 9.93 g cm⁻³. Number 6: N(E_F) 1.20 states/eV per cell, uncorrected energy -16.78 eV per formula unit, density 8.80 g cm⁻³.